Ca2Ac12Y | PBE-GGA | optimized geometry

Geometry as extended XYZ:
```
30
Lattice="7.193 0.000 0.000 0.000 7.193 0.000 0.000 0.000 28.007" Properties=species:S:1:pos:R:3 pbc="T T T"
Ca 1.798 5.395 6.414
Ca 1.798 5.395 21.593
Ca 5.395 1.798 6.414
Ca 5.395 1.798 21.593
Ac 0.455 4.051 11.035
Ac 0.455 6.738 16.972
Ac 0.565 4.161 1.703
Ac 0.565 6.628 26.304
Ac 1.798 1.798 4.552
Ac 1.798 1.798 8.181
Ac 1.798 1.798 19.826
Ac 1.798 1.798 23.455
Ac 3.031 4.161 26.304
Ac 3.031 6.628 1.703
Ac 3.142 4.051 16.972
Ac 3.142 6.738 11.035
Ac 4.051 0.455 16.972
Ac 4.051 3.142 11.035
Ac 4.161 0.565 26.304
Ac 4.161 3.031 1.703
Ac 5.395 5.395 4.552
Ac 5.395 5.395 8.181
Ac 5.395 5.395 19.826
Ac 5.395 5.395 23.455
Ac 6.628 0.565 1.703
Ac 6.628 3.031 26.304
Ac 6.738 0.455 11.035
Ac 6.738 3.142 16.972
Y 1.798 5.395 14.003
Y 5.395 1.798 14.003
```

Properties
The value obtained for the formation enthalpy at 0 K is 0.353 eV per atom.